{
  "formula": "CaAuI3",
  "functional": "PBEsol",
  "state": "optimized geometry",
  "raw_formation_energy_mev_per_atom": -186,
  "cell": [[5.8956, 0.0000, 0.0000], [0.0000, 5.8956, 0.0000], [0.0000, 0.0000, 5.8956]],
  "species": ["Ca", "Au", "I", "I", "I"],
  "fractional_positions": [[0.0000, 0.0000, 0.0000], [0.5000, 0.5000, 0.5000], [0.0000, 0.0000, 0.5000], [0.0000, 0.5000, 0.0000], [0.5000, 0.0000, 0.0000]]
}

{
  "formula": "Rb2CaAuI",
  "functional": "PBEsol",
  "state": "optimized geometry",
  "raw_formation_energy_mev_per_atom": 11,
  "cell": [[6.7836, 0.0000, 0.0000], [0.0000, 6.7836, 0.0000], [0.0000, 0.0000, 5.6558]],
  "species": ["Rb", "Rb", "Ca", "Au", "I"],
  "fractional_positions": [[0.0000, 0.5000, 0.0000], [0.5000, 0.0000, 0.0000], [0.0000, 0.0000, 0.5000], [0.5000, 0.5000, 0.5000], [0.5000, 0.5000, 0.0000]]
}

{
  "formula": "CaIn2Au2",
  "functional": "PBEsol",
  "state": "optimized geometry",
  "delta_e_f_kj_per_mol_fu": -236,
  "cell": [[-2.1492, 2.1492, 6.2289], [2.1492, -2.1492, 6.2289], [2.1492, 2.1492, -6.2289]],
  "species": ["Ca", "In", "In", "Au", "Au"],
  "fractional_positions": [[0.0000, 0.0000, 0.0000], [0.2500, 0.7500, 0.5000], [0.7500, 0.2500, 0.5000], [0.3937, 0.3937, 0.0000], [0.6063, 0.6063, 0.0000]]
}

{
  "formula": "CaInAu",
  "functional": "PBEsol",
  "state": "optimized geometry",
  "delta_e_f_kj_per_mol_fu": -184,
  "cell": [[4.7571, 0.0000, 0.0000], [-2.3786, 4.1198, 0.0000], [0.0000, 0.0000, 3.5486]],
  "species": ["Ca", "In", "Au"],
  "fractional_positions": [[0.0000, 0.0000, 0.0000], [0.3333, 0.6667, 0.5000], [0.6667, 0.3333, 0.5000]]
}

{
  "formula": "CaIn3Au",
  "functional": "PBEsol",
  "state": "optimized geometry",
  "delta_e_f_kj_per_mol_fu": -13,
  "cell": [[5.2726, 0.0000, 0.0000], [0.0000, 5.2726, 0.0000], [0.0000, 0.0000, 5.2726]],
  "species": ["Ca", "In", "In", "In", "Au"],
  "fractional_positions": [[0.0000, 0.0000, 0.0000], [0.0000, 0.5000, 0.5000], [0.5000, 0.0000, 0.5000], [0.5000, 0.5000, 0.0000], [0.5000, 0.5000, 0.5000]]
}

{
  "formula": "CaInAu",
  "functional": "PBEsol",
  "state": "optimized geometry",
  "delta_e_f_kj_per_mol_fu": -201,
  "cell": [[7.2847, 0.0000, 0.0000], [0.0000, 4.5674, 0.0000], [0.0000, 0.0000, 8.3501]],
  "species": ["Ca", "Ca", "Ca", "Ca", "In", "In", "In", "In", "Au", "Au", "Au", "Au"],
  "fractional_positions": [[0.0256, 0.2500, 0.1833], [0.4744, 0.7500, 0.6833], [0.5256, 0.2500, 0.3167], [0.9744, 0.7500, 0.8167], [0.1568, 0.2500, 0.5624], [0.3432, 0.7500, 0.0624], [0.6568, 0.2500, 0.9376], [0.8432, 0.7500, 0.4376], [0.2300, 0.7500, 0.3786], [0.2700, 0.2500, 0.8786], [0.7300, 0.7500, 0.1214], [0.7700, 0.2500, 0.6214]]
}

{
  "formula": "Ca2In4Au3",
  "functional": "PBEsol",
  "state": "optimized geometry",
  "delta_e_f_kj_per_mol_fu": -486,
  "cell": [[14.6700, 0.0000, 0.0000], [0.0000, 4.4294, 0.0000], [0.0000, 0.0000, 12.5964]],
  "species": ["Ca", "Ca", "Ca", "Ca", "Ca", "Ca", "Ca", "Ca", "In", "In", "In", "In", "In", "In", "In", "In", "In", "In", "In", "In", "In", "In", "In", "In", "Au", "Au", "Au", "Au", "Au", "Au", "Au", "Au", "Au", "Au", "Au", "Au"],
  "fractional_positions": [[0.0185, 0.2500, 0.2138], [0.2095, 0.7500, 0.5833], [0.2905, 0.2500, 0.0833], [0.4815, 0.7500, 0.7138], [0.5185, 0.2500, 0.2862], [0.7095, 0.7500, 0.9167], [0.7905, 0.2500, 0.4167], [0.9815, 0.7500, 0.7862], [0.0035, 0.2500, 0.5867], [0.0712, 0.2500, 0.9590], [0.1796, 0.7500, 0.2831], [0.1961, 0.7500, 0.8678], [0.3039, 0.2500, 0.3678], [0.3204, 0.2500, 0.7831], [0.4288, 0.7500, 0.4590], [0.4965, 0.7500, 0.0867], [0.5035, 0.2500, 0.9133], [0.5712, 0.2500, 0.5410], [0.6796, 0.7500, 0.2169], [0.6961, 0.7500, 0.6322], [0.8039, 0.2500, 0.1322], [0.8204, 0.2500, 0.7169], [0.9288, 0.7500, 0.0410], [0.9965, 0.7500, 0.4133], [0.1226, 0.2500, 0.4179], [0.1240, 0.7500, 0.0780], [0.1309, 0.2500, 0.7448], [0.3691, 0.7500, 0.2448], [0.3760, 0.2500, 0.5780], [0.3774, 0.7500, 0.9179], [0.6226, 0.2500, 0.0821], [0.6240, 0.7500, 0.4220], [0.6309, 0.2500, 0.7552], [0.8691, 0.7500, 0.2552], [0.8760, 0.2500, 0.9220], [0.8774, 0.7500, 0.5821]]
}

{
  "formula": "CaIrAu3",
  "functional": "PBEsol",
  "state": "optimized geometry",
  "delta_e_f_kj_per_mol_fu": 146,
  "cell": [[4.9812, 0.0000, 0.0000], [0.0000, 4.9812, 0.0000], [0.0000, 0.0000, 4.9812]],
  "species": ["Ca", "Ir", "Au", "Au", "Au"],
  "fractional_positions": [[0.0000, 0.0000, 0.0000], [0.5000, 0.5000, 0.5000], [0.0000, 0.5000, 0.5000], [0.5000, 0.0000, 0.5000], [0.5000, 0.5000, 0.0000]]
}

{
  "formula": "CaIr2Au",
  "functional": "PBEsol",
  "state": "optimized geometry",
  "delta_e_f_kj_per_mol_fu": 144,
  "cell": [[1.4868, -2.3458, 0.0000], [1.4868, 2.3458, 0.0000], [0.0000, 0.0000, 9.4234]],
  "species": ["Ca", "Ir", "Ir", "Au"],
  "fractional_positions": [[0.0000, 0.0000, 0.0000], [0.5000, 0.5000, 0.2504], [0.5000, 0.5000, 0.7496], [0.0000, 0.0000, 0.5000]]
}

{
  "formula": "CaIr2Au",
  "functional": "PBEsol",
  "state": "optimized geometry",
  "delta_e_f_kj_per_mol_fu": 44,
  "cell": [[-1.4480, 2.3654, 4.9395], [1.4480, -2.3654, 4.9395], [1.4480, 2.3654, -4.9395]],
  "species": ["Ca", "Ir", "Ir", "Au"],
  "fractional_positions": [[0.0000, 0.0000, 0.0000], [0.2672, 0.7672, 0.5000], [0.7328, 0.2328, 0.5000], [0.5000, 0.5000, 0.0000]]
}

{
  "formula": "CaIrAu",
  "functional": "PBEsol",
  "state": "optimized geometry",
  "delta_e_f_kj_per_mol_fu": 62,
  "cell": [[2.9567, 0.0000, 0.0000], [-1.4783, 2.5605, 0.0000], [0.0000, 0.0000, 7.0451]],
  "species": ["Ca", "Ir", "Au"],
  "fractional_positions": [[0.0000, 0.0000, 0.0000], [0.6667, 0.3333, 0.6843], [0.3333, 0.6667, 0.3533]]
}

{
  "formula": "CaIrPb2Au",
  "functional": "PBEsol",
  "state": "optimized geometry",
  "delta_e_f_kj_per_mol_fu": 36,
  "cell": [[5.1156, 0.0000, 0.0000], [0.0000, 5.1156, 0.0000], [0.0000, 0.0000, 5.3955]],
  "species": ["Ca", "Ir", "Pb", "Pb", "Au"],
  "fractional_positions": [[0.0000, 0.0000, 0.0000], [0.0000, 0.0000, 0.5000], [0.0000, 0.5000, 0.5000], [0.5000, 0.0000, 0.5000], [0.5000, 0.5000, 0.0000]]
}

{
  "formula": "KCaAu",
  "functional": "PBEsol",
  "state": "optimized geometry",
  "delta_e_f_kj_per_mol_fu": 83,
  "cell": [[0.0000, 3.6193, 3.6193], [3.6193, 0.0000, 3.6193], [3.6193, 3.6193, 0.0000]],
  "species": ["K", "Ca", "Au"],
  "fractional_positions": [[0.0000, 0.0000, 0.0000], [0.2500, 0.2500, 0.2500], [0.7500, 0.7500, 0.7500]]
}

{
  "formula": "KCa2OsAu",
  "functional": "PBEsol",
  "state": "optimized geometry",
  "delta_e_f_kj_per_mol_fu": 870,
  "cell": [[5.1601, 0.0000, 0.0000], [0.0000, 5.1601, 0.0000], [0.0000, 0.0000, 4.8662]],
  "species": ["K", "Ca", "Ca", "Os", "Au"],
  "fractional_positions": [[0.0000, 0.0000, 0.0000], [0.0000, 0.5000, 0.0000], [0.5000, 0.0000, 0.0000], [0.5000, 0.5000, 0.5000], [0.0000, 0.0000, 0.5000]]
}

{
  "formula": "KCaSb2Au",
  "functional": "PBEsol",
  "state": "optimized geometry",
  "raw_formation_energy_mev_per_atom": 599,
  "cell": [[5.5999, 0.0000, 0.0000], [0.0000, 5.5999, 0.0000], [0.0000, 0.0000, 5.7371]],
  "species": ["K", "Ca", "Sb", "Sb", "Au"],
  "fractional_positions": [[0.0000, 0.0000, 0.0000], [0.0000, 0.0000, 0.5000], [0.0000, 0.5000, 0.5000], [0.5000, 0.0000, 0.5000], [0.5000, 0.5000, 0.0000]]
}

{
  "formula": "Ca2LaAu",
  "functional": "PBEsol",
  "state": "optimized geometry",
  "delta_e_f_kj_per_mol_fu": -83,
  "cell": [[4.3959, 0.0000, 0.0000], [0.0000, 4.7898, 0.0000], [0.0000, 0.0000, 5.4066]],
  "species": ["Ca", "Ca", "La", "Au"],
  "fractional_positions": [[0.0000, 0.0000, 0.0000], [0.5000, 0.5000, 0.0000], [0.0000, 0.5000, 0.5000], [0.5000, 0.0000, 0.5000]]
}

{
  "formula": "Ca2LaAu",
  "functional": "PBEsol",
  "state": "optimized geometry",
  "delta_e_f_kj_per_mol_fu": -139,
  "cell": [[3.6865, 0.0000, 0.0000], [0.0000, 3.6865, 0.0000], [0.0000, 0.0000, 9.3464]],
  "species": ["Ca", "Ca", "La", "Au"],
  "fractional_positions": [[0.0000, 0.0000, 0.0000], [0.5000, 0.5000, 0.3147], [0.0000, 0.0000, 0.6295], [0.5000, 0.5000, 0.8168]]
}

{
  "formula": "Ca2LaAu2",
  "functional": "PBEsol",
  "state": "optimized geometry",
  "delta_e_f_kj_per_mol_fu": -301,
  "cell": [[7.8404, 0.0000, 0.0000], [0.0000, 7.8404, 0.0000], [0.0000, 0.0000, 4.3607]],
  "species": ["Ca", "Ca", "Ca", "Ca", "La", "La", "Au", "Au", "Au", "Au"],
  "fractional_positions": [[0.1614, 0.3386, 0.0000], [0.3386, 0.8386, 0.0000], [0.6614, 0.1614, 0.0000], [0.8386, 0.6614, 0.0000], [0.0000, 0.0000, 0.5000], [0.5000, 0.5000, 0.5000], [0.1313, 0.6313, 0.5000], [0.3687, 0.1313, 0.5000], [0.6313, 0.8687, 0.5000], [0.8687, 0.3687, 0.5000]]
}

{
  "formula": "Ca2LaAu",
  "functional": "PBEsol",
  "state": "optimized geometry",
  "delta_e_f_kj_per_mol_fu": -105,
  "cell": [[1.9964, 1.1526, 10.1320], [-1.9964, 1.1526, 10.1320], [0.0000, -2.3052, 10.1320]],
  "species": ["Ca", "Ca", "La", "Au"],
  "fractional_positions": [[0.0000, 0.0000, 0.0000], [0.2262, 0.2262, 0.2262], [0.7706, 0.7706, 0.7706], [0.4994, 0.4994, 0.4994]]
}

{
  "formula": "Li2CaAu",
  "functional": "PBEsol",
  "state": "optimized geometry",
  "delta_e_f_kj_per_mol_fu": -133,
  "cell": [[-2.3691, 2.4780, 3.4844], [2.3691, -2.4780, 3.4844], [2.3691, 2.4780, -3.4844]],
  "species": ["Li", "Li", "Ca", "Au"],
  "fractional_positions": [[0.0000, 0.0000, 0.0000], [0.7561, 0.2561, 0.5000], [0.4910, 0.4910, 0.0000], [0.2294, 0.7294, 0.5000]]
}

{
  "formula": "LiCaAu2",
  "functional": "PBEsol",
  "state": "optimized geometry",
  "delta_e_f_kj_per_mol_fu": -219,
  "cell": [[3.5535, 0.0000, 0.0000], [0.0000, 4.6264, 0.0000], [-0.0067, 0.0000, 4.8117]],
  "species": ["Li", "Ca", "Au", "Au"],
  "fractional_positions": [[0.0000, 0.0000, 0.0000], [0.0032, 0.5000, 0.5487], [0.5028, 0.0000, 0.4367], [0.5029, 0.5000, 0.0496]]
}

{
  "formula": "LiCaAu2",
  "functional": "PBEsol",
  "state": "optimized geometry",
  "delta_e_f_kj_per_mol_fu": -220,
  "cell": [[0.0000, 2.9730, 4.2674], [2.9643, 0.0000, 4.2674], [2.9643, 2.9730, 0.0000]],
  "species": ["Li", "Ca", "Au", "Au"],
  "fractional_positions": [[0.0000, 0.0000, 0.0000], [0.2500, 0.2500, 0.2500], [0.5000, 0.5000, 0.5000], [0.7500, 0.7500, 0.7500]]
}

{
  "formula": "Li2CaAu",
  "functional": "PBEsol",
  "state": "optimized geometry",
  "delta_e_f_kj_per_mol_fu": -141,
  "cell": [[-1.8041, 2.3816, 4.8693], [1.8041, -2.3816, 4.8693], [1.8041, 2.3816, -4.8693]],
  "species": ["Li", "Li", "Ca", "Au"],
  "fractional_positions": [[0.2131, 0.2131, 0.0000], [0.7869, 0.7869, 0.0000], [0.5000, 0.0000, 0.5000], [0.0000, 0.5000, 0.5000]]
}

{
  "formula": "Li2CaAu",
  "functional": "PBEsol",
  "state": "optimized geometry",
  "delta_e_f_kj_per_mol_fu": -136,
  "cell": [[3.5490, 0.0000, 0.0000], [0.0000, 3.5490, 0.0000], [0.0000, 0.0000, 6.7887]],
  "species": ["Li", "Li", "Ca", "Au"],
  "fractional_positions": [[0.0000, 0.0000, 0.0000], [0.5000, 0.5000, 0.2065], [0.0000, 0.0000, 0.5650], [0.5000, 0.5000, 0.8154]]
}

{
  "formula": "LiCaAu2",
  "functional": "PBEsol",
  "state": "optimized geometry",
  "delta_e_f_kj_per_mol_fu": -218,
  "cell": [[4.6064, 0.0000, 0.0000], [0.0000, 4.6064, 0.0000], [0.0000, 0.0000, 3.6788]],
  "species": ["Li", "Ca", "Au", "Au"],
  "fractional_positions": [[0.0000, 0.0000, 0.0000], [0.5000, 0.5000, 0.0000], [0.0000, 0.5000, 0.5000], [0.5000, 0.0000, 0.5000]]
}

{
  "formula": "Li2CaAu",
  "functional": "PBEsol",
  "state": "optimized geometry",
  "delta_e_f_kj_per_mol_fu": -147,
  "cell": [[2.2416, 1.2942, 4.9122], [-2.2416, 1.2942, 4.9122], [0.0000, -2.5884, 4.9122]],
  "species": ["Li", "Li", "Ca", "Au"],
  "fractional_positions": [[0.0000, 0.0000, 0.0000], [0.2767, 0.2767, 0.2767], [0.7964, 0.7964, 0.7964], [0.5876, 0.5876, 0.5876]]
}

{
  "formula": "LiCaAu2",
  "functional": "PBEsol",
  "state": "optimized geometry",
  "delta_e_f_kj_per_mol_fu": -204,
  "cell": [[0.0000, 3.3598, 3.3598], [3.3598, 0.0000, 3.3598], [3.3598, 3.3598, 0.0000]],
  "species": ["Li", "Ca", "Au", "Au"],
  "fractional_positions": [[0.0000, 0.0000, 0.0000], [0.2500, 0.2500, 0.2500], [0.5000, 0.5000, 0.5000], [0.7500, 0.7500, 0.7500]]
}

{
  "formula": "LiCaAu2",
  "functional": "PBEsol",
  "state": "optimized geometry",
  "delta_e_f_kj_per_mol_fu": -239,
  "cell": [[2.2376, 1.2919, 4.7292], [-2.2376, 1.2919, 4.7292], [0.0000, -2.5838, 4.7292]],
  "species": ["Li", "Ca", "Au", "Au"],
  "fractional_positions": [[0.0000, 0.0000, 0.0000], [0.5000, 0.5000, 0.5000], [0.2866, 0.2866, 0.2866], [0.7134, 0.7134, 0.7134]]
}